The following is a DFT calculation (meta-GGA SCAN) of a PBEsol-optimized structure of CsBaGa2Te.

```
data_CsBaGa2Te
_chemical_formula_sum 'Cs1 Ba1 Ga2 Te1'
_cell_length_a 6.121
_cell_length_b 6.121
_cell_length_c 6.461
_cell_angle_alpha 90.00
_cell_angle_beta 90.00
_cell_angle_gamma 90.00
_symmetry_space_group_name_H-M 'P 4/m m m'
_symmetry_Int_Tables_number 123
_symmetry_space_group_name_Hall '-P 4 2'
loop_
_atom_site_label
_atom_site_type_symbol
_atom_site_fract_x
_atom_site_fract_y
_atom_site_fract_z
Cs1 Cs 0.000 0.000 0.000
Ba1 Ba 0.500 0.500 0.500
Ga1 Ga 0.000 0.500 0.500
Te1 Te 0.500 0.500 0.000
```

Output
Energy relative to the elements, uncorrected: 0.20 eV/f.u.


The following is a DFT calculation (meta-GGA SCAN) of a PBEsol-optimized structure of CsBaTl2Ga.

```
data_CsBaTl2Ga
_chemical_formula_sum 'Cs1 Ba1 Tl2 Ga1'
_cell_length_a 6.110
_cell_length_b 6.110
_cell_length_c 6.406
_cell_angle_alpha 90.00
_cell_angle_beta 90.00
_cell_angle_gamma 90.00
_symmetry_space_group_name_H-M 'P 4/m m m'
_symmetry_Int_Tables_number 123
_symmetry_space_group_name_Hall '-P 4 2'
loop_
_atom_site_label
_atom_site_type_symbol
_atom_site_fract_x
_atom_site_fract_y
_atom_site_fract_z
Cs1 Cs 0.000 0.000 0.000
Ba1 Ba 0.000 0.000 0.500
Tl1 Tl 0.000 0.500 0.000
Ga1 Ga 0.500 0.500 0.500
```

Output
Formation energy from the elements: 0.858 eV/atom


no.,ρ (g cm⁻³)
1,3.7
2,5.2